## NpUGe (PBE)

Data for NpUGe after structural relaxation.

Cell lengths 7.971, 7.971, 5.772 Å; angles 90.00, 90.00, 159.72 degrees
Element x y z (fractional)
Np 0.236 0.764 0.500
Np 0.764 0.236 0.000
U 0.090 0.910 0.653
U 0.910 0.090 0.153
Ge 0.099 0.901 0.149
Ge 0.901 0.099 0.649

As for the formation energy: 0.2360 eV per atom. As for the symmetry: Cmc2_1. Its energy above the lowest structure with this stoichiometry is 0.96 eV/f.u. The calculation puts the total magnetization at 0.05 μB per formula unit.



## NpUGe (PBE)

Data for NpUGe after structural relaxation.

Cell lengths 4.708, 4.708, 2.940 Å; angles 90.00, 90.00, 120.00 degrees
Element x y z (fractional)
Np 0.000 0.000 0.000
U 0.667 0.333 0.000
Ge 0.333 0.667 0.500

As for the formation energy: 0.0482 eV per atom. As for the symmetry: P-6m2. Its energy above the lowest structure with this stoichiometry is 0.40 eV/f.u. The calculation puts the total magnetization at 2.28 μB per formula unit.



## Np5U2Ge3 (PBE)

Data for Np5U2Ge3 after structural relaxation.

Cell lengths 8.275, 8.275, 8.026 Å; angles 104.35, 104.35, 120.36 degrees
Element x y z (fractional)
Np 0.020 0.980 0.750
Np 0.097 0.378 0.659
Np 0.249 0.751 0.750
Np 0.378 0.097 0.159
Np 0.466 0.534 0.750
Np 0.534 0.466 0.250
Np 0.622 0.903 0.841
Np 0.751 0.249 0.250
Np 0.903 0.622 0.341
Np 0.980 0.020 0.250
U 0.124 0.336 0.957
U 0.336 0.124 0.457
U 0.664 0.876 0.543
U 0.876 0.664 0.043
Ge 0.214 0.464 0.370
Ge 0.258 0.742 0.250
Ge 0.464 0.214 0.870
Ge 0.536 0.786 0.130
Ge 0.742 0.258 0.750
Ge 0.786 0.536 0.630

As for the formation energy: 0.0381 eV per atom. As for the symmetry: C2/c. The calculation puts the total magnetization at 3.65 μB per formula unit.



## NpU2Ge (PBE)

Data for NpU2Ge after structural relaxation.

Cell lengths 4.326, 4.326, 4.213 Å; angles 90.00, 90.00, 90.00 degrees
Element x y z (fractional)
Np 0.000 0.000 0.000
U 0.000 0.500 0.500
U 0.500 0.000 0.500
Ge 0.500 0.500 0.000

As for the formation energy: -0.0841 eV per atom. As for the symmetry: P4/mmm. Its energy above the lowest structure with this stoichiometry is 0.00 eV/f.u. The calculation puts the total magnetization at 2.07 μB per formula unit.



## NpV2Ge (PBE)

Data for NpV2Ge after structural relaxation.

Cell lengths 4.454, 4.454, 4.454 Å; angles 60.00, 60.00, 60.00 degrees
Element x y z (fractional)
Np 0.000 0.000 0.000
V 0.250 0.250 0.250
V 0.750 0.750 0.750
Ge 0.500 0.500 0.500

As for the formation energy: 0.0672 eV per atom. As for the symmetry: Fm-3m. Its energy above the lowest structure with this stoichiometry is 0.30 eV/f.u. The calculation puts the total magnetization at 3.21 μB per formula unit.



## NpV4Ge4 (PBE)

Data for NpV4Ge4 after structural relaxation.

Cell lengths 8.171, 8.171, 4.630 Å; angles 90.00, 90.00, 90.00 degrees
Element x y z (fractional)
Np 0.250 0.250 0.250
Np 0.750 0.750 0.750
V 0.139 0.842 0.709
V 0.158 0.639 0.209
V 0.342 0.861 0.209
V 0.361 0.658 0.709
V 0.639 0.342 0.291
V 0.658 0.139 0.791
V 0.842 0.361 0.791
V 0.861 0.158 0.291
Ge 0.005 0.892 0.215
Ge 0.108 0.505 0.715
Ge 0.392 0.995 0.715
Ge 0.495 0.608 0.215
Ge 0.505 0.392 0.785
Ge 0.608 0.005 0.285
Ge 0.892 0.495 0.285
Ge 0.995 0.108 0.785

As for the formation energy: -0.0640 eV per atom. As for the symmetry: P4_2/n. The calculation puts the total magnetization at 4.04 μB per formula unit.



## NpVGe2 (PBE)

Data for NpVGe2 after structural relaxation.

Cell lengths 9.478, 9.478, 9.478 Å; angles 17.77, 17.77, 17.77 degrees
Element x y z (fractional)
Np 0.000 0.000 0.000
V 0.500 0.500 0.500
Ge 0.240 0.240 0.240
Ge 0.760 0.760 0.760

As for the formation energy: 0.0223 eV per atom. As for the symmetry: R-3m. Its energy above the lowest structure with this stoichiometry is 0.39 eV/f.u. The calculation puts the total magnetization at 4.25 μB per formula unit.



## NpVGe2 (PBE)

Data for NpVGe2 after structural relaxation.

Cell lengths 3.318, 3.318, 6.422 Å; angles 90.00, 90.00, 90.00 degrees
Element x y z (fractional)
Np 0.000 0.000 0.000
V 0.000 0.000 0.500
Ge 0.500 0.500 0.299
Ge 0.500 0.500 0.701

As for the formation energy: -0.0763 eV per atom. As for the symmetry: P4/mmm. Its energy above the lowest structure with this stoichiometry is 0.00 eV/f.u. The calculation puts the total magnetization at 3.68 μB per formula unit.



## NpV2Ge (PBE)

Data for NpV2Ge after structural relaxation.

Cell lengths 4.287, 4.287, 3.356 Å; angles 90.00, 90.00, 90.00 degrees
Element x y z (fractional)
Np 0.000 0.000 0.000
V 0.000 0.500 0.500
V 0.500 0.000 0.500
Ge 0.500 0.500 0.000

As for the formation energy: -0.0070 eV per atom. As for the symmetry: P4/mmm. Its energy above the lowest structure with this stoichiometry is 0.00 eV/f.u. The calculation puts the total magnetization at 2.30 μB per formula unit.



## NpV2Ge (PBE)

Data for NpV2Ge after structural relaxation.

Cell lengths 3.254, 3.254, 6.171 Å; angles 90.00, 90.00, 90.00 degrees
Element x y z (fractional)
Np 0.000 0.000 0.000
V 0.500 0.500 0.296
V 0.500 0.500 0.704
Ge 0.000 0.000 0.500

As for the formation energy: 0.1182 eV per atom. As for the symmetry: P4/mmm. Its energy above the lowest structure with this stoichiometry is 0.50 eV/f.u. The calculation puts the total magnetization at 3.74 μB per formula unit.



## YNpGe4 (PBE)

Data for YNpGe4 after structural relaxation.

Cell lengths 5.590, 5.590, 5.590 Å; angles 60.00, 60.00, 60.00 degrees
Element x y z (fractional)
Y 0.000 0.000 0.000
Np 0.250 0.250 0.250
Ge 0.126 0.625 0.625
Ge 0.625 0.126 0.625
Ge 0.625 0.625 0.126
Ge 0.625 0.625 0.625

As for the formation energy: -0.1453 eV per atom. As for the symmetry: F-43m. The calculation puts the total magnetization at 5.85 μB per formula unit.



## NpZnGe (PBE)

Data for NpZnGe after structural relaxation.

Cell lengths 4.789, 4.789, 2.590 Å; angles 90.00, 90.00, 120.00 degrees
Element x y z (fractional)
Np 0.000 0.000 0.000
Zn 0.333 0.667 0.500
Ge 0.667 0.333 0.500

As for the formation energy: 0.0841 eV per atom. As for the symmetry: P-6m2. The calculation puts the total magnetization at 0.62 μB per formula unit.



## NpZn2Ge2 (PBE)

Data for NpZn2Ge2 after structural relaxation.

Cell lengths 11.445, 11.445, 4.033 Å; angles 90.00, 90.00, 159.62 degrees
Element x y z (fractional)
Np 0.148 0.852 0.750
Np 0.852 0.148 0.250
Zn 0.038 0.962 0.250
Zn 0.458 0.542 0.250
Zn 0.542 0.458 0.750
Zn 0.962 0.038 0.750
Ge 0.250 0.750 0.250
Ge 0.377 0.623 0.750
Ge 0.623 0.377 0.250
Ge 0.750 0.250 0.750

As for the formation energy: -0.0969 eV per atom. As for the symmetry: Cmcm. The calculation puts the total magnetization at 3.73 μB per formula unit.



## NpZnGe (PBE)

Data for NpZnGe after structural relaxation.

Cell lengths 4.071, 3.715, 7.143 Å; angles 90.00, 97.99, 90.00 degrees
Element x y z (fractional)
Np 0.115 0.250 0.099
Np 0.885 0.750 0.901
Zn 0.227 0.750 0.492
Zn 0.773 0.250 0.508
Ge 0.354 0.250 0.746
Ge 0.646 0.750 0.254

As for the formation energy: -0.1305 eV per atom. As for the symmetry: P2_1/m. The calculation puts the total magnetization at 0.62 μB per formula unit.



## Np2Zn16Ge (PBE)

Data for Np2Zn16Ge after structural relaxation.

Cell lengths 6.813, 6.813, 6.813 Å; angles 83.68, 83.68, 83.68 degrees
Element x y z (fractional)
Np 0.000 0.000 0.000
Np 0.334 0.334 0.334
Zn 0.021 0.021 0.499
Zn 0.021 0.499 0.021
Zn 0.178 0.662 0.662
Zn 0.318 0.318 0.833
Zn 0.318 0.833 0.318
Zn 0.361 0.668 0.974
Zn 0.361 0.974 0.668
Zn 0.499 0.021 0.021
Zn 0.573 0.573 0.573
Zn 0.662 0.178 0.662
Zn 0.662 0.662 0.178
Zn 0.668 0.361 0.974
Zn 0.668 0.974 0.361
Zn 0.833 0.318 0.318
Zn 0.974 0.361 0.668
Zn 0.974 0.668 0.361
Ge 0.772 0.772 0.772

As for the formation energy: -0.0492 eV per atom. As for the symmetry: R3m. The calculation puts the total magnetization at 8.51 μB per formula unit.



## ZrNpGe2 (PBE)

Data for ZrNpGe2 after structural relaxation.

Cell lengths 3.635, 3.635, 6.166 Å; angles 90.00, 90.00, 90.00 degrees
Element x y z (fractional)
Zr 0.000 0.000 0.000
Np 0.000 0.000 0.500
Ge 0.500 0.500 0.218
Ge 0.500 0.500 0.782

As for the formation energy: -0.3277 eV per atom. As for the symmetry: P4/mmm. Its energy above the lowest structure with this stoichiometry is 0.07 eV/f.u. The calculation puts the total magnetization at 4.16 μB per formula unit.



## ZrNpGe2 (PBE)

Data for ZrNpGe2 after structural relaxation.

Cell lengths 7.232, 7.232, 7.232 Å; angles 31.17, 31.17, 31.17 degrees
Element x y z (fractional)
Zr 0.000 0.000 0.000
Np 0.500 0.500 0.500
Ge 0.255 0.255 0.255
Ge 0.745 0.745 0.745

As for the formation energy: -0.3442 eV per atom. As for the symmetry: R-3m. Its energy above the lowest structure with this stoichiometry is 0.00 eV/f.u. The calculation puts the total magnetization at 3.49 μB per formula unit.



## GeO4 (PBE)

Data for GeO4 after structural relaxation.

Cell lengths 3.745, 3.745, 3.745 Å; angles 90.00, 90.00, 90.00 degrees
Element x y z (fractional)
Ge 0.000 0.000 0.000
O 0.000 0.000 0.500
O 0.000 0.500 0.000
O 0.500 0.000 0.000
O 0.500 0.500 0.500

As for the symmetry: Pm-3m. For the formation energy (no corrections), the calculation gives 0.0974 eV per atom. The calculation puts the total magnetization at 4.00 μB per formula unit.



## Ge2O3 (PBE)

Data for Ge2O3 after structural relaxation.

Cell lengths 3.778, 3.778, 3.778 Å; angles 90.00, 90.00, 90.00 degrees
Element x y z (fractional)
Ge 0.000 0.000 0.000
Ge 0.500 0.500 0.500
O 0.000 0.000 0.500
O 0.000 0.500 0.000
O 0.500 0.000 0.000

As for the symmetry: Pm-3m. For the formation energy (no corrections), the calculation gives -1.0699 eV per atom. The calculation puts the total magnetization at 0.00 μB per formula unit.



## Ge2O3 (PBE)

Data for Ge2O3 after structural relaxation.

Cell lengths 8.437, 8.437, 7.816 Å; angles 117.20, 117.20, 19.38 degrees
Element x y z (fractional)
Ge 0.088 0.088 0.319
Ge 0.336 0.336 0.075
Ge 0.664 0.664 0.925
Ge 0.912 0.912 0.681
O 0.088 0.088 0.816
O 0.234 0.234 0.120
O 0.394 0.394 0.519
O 0.606 0.606 0.481
O 0.766 0.766 0.880
O 0.912 0.912 0.184

As for the symmetry: C2/m. For the formation energy (no corrections), the calculation gives -1.1411 eV per atom. The calculation puts the total magnetization at 0.00 μB per formula unit.



## Ge7O23 (PBE)

Data for Ge7O23 after structural relaxation.

Cell lengths 7.750, 7.750, 7.750 Å; angles 90.00, 90.00, 90.00 degrees
Element x y z (fractional)
Ge 0.000 0.000 0.500
Ge 0.000 0.500 0.000
Ge 0.145 0.145 0.145
Ge 0.145 0.855 0.855
Ge 0.500 0.000 0.000
Ge 0.855 0.145 0.855
Ge 0.855 0.855 0.145
O 0.000 0.500 0.500
O 0.115 0.115 0.885
O 0.115 0.885 0.115
O 0.136 0.136 0.380
O 0.136 0.380 0.136
O 0.136 0.620 0.864
O 0.136 0.864 0.620
O 0.278 0.278 0.722
O 0.278 0.722 0.278
O 0.380 0.136 0.136
O 0.380 0.864 0.864
O 0.500 0.000 0.500
O 0.500 0.500 0.000
O 0.620 0.136 0.864
O 0.620 0.864 0.136
O 0.722 0.278 0.278
O 0.722 0.722 0.722
O 0.864 0.136 0.620
O 0.864 0.380 0.864
O 0.864 0.620 0.136
O 0.864 0.864 0.380
O 0.885 0.115 0.115
O 0.885 0.885 0.885

As for the symmetry: P-43m. For the formation energy (no corrections), the calculation gives -0.2802 eV per atom. The calculation puts the total magnetization at 18.05 μB per formula unit.



## Ge4O (PBE)

Data for Ge4O after structural relaxation.

Cell lengths 4.490, 4.490, 4.490 Å; angles 90.00, 90.00, 90.00 degrees
Element x y z (fractional)
Ge 0.000 0.000 0.000
Ge 0.000 0.500 0.500
Ge 0.500 0.000 0.500
Ge 0.500 0.500 0.000
O 0.500 0.500 0.500

As for the symmetry: Pm-3m. For the formation energy (no corrections), the calculation gives 0.0466 eV per atom. The calculation puts the total magnetization at 0.00 μB per formula unit.



## GeOsO2 (PBE)

Data for GeOsO2 after structural relaxation.

Cell lengths 5.695, 5.695, 5.695 Å; angles 125.98, 125.98, 79.91 degrees
Element x y z (fractional)
Ge 0.000 0.000 0.000
Ge 0.750 0.250 0.500
Os 0.250 0.750 0.500
Os 0.500 0.500 0.000
O 0.167 0.625 0.042
O 0.375 0.417 0.542
O 0.583 0.125 0.958
O 0.875 0.833 0.458

As for the symmetry: I-42d. For the formation energy (no corrections), the calculation gives 0.1221 eV per atom. The calculation puts the total magnetization at 0.00 μB per formula unit.



## GeOs2O (PBE)

Data for GeOs2O after structural relaxation.

Cell lengths 4.167, 4.167, 4.167 Å; angles 60.00, 60.00, 60.00 degrees
Element x y z (fractional)
Ge 0.000 0.000 0.000
Os 0.250 0.250 0.250
Os 0.750 0.750 0.750
O 0.500 0.500 0.500

As for the symmetry: Fm-3m. Its energy above the lowest structure with this stoichiometry is 0.00 eV/f.u. For the formation energy (no corrections), the calculation gives 0.6465 eV per atom. The calculation puts the total magnetization at 0.00 μB per formula unit.



## GeOs2O (PBE)

Data for GeOs2O after structural relaxation.

Cell lengths 5.891, 5.891, 5.891 Å; angles 126.21, 126.21, 79.54 degrees
Element x y z (fractional)
Ge 0.000 0.000 0.000
Ge 0.750 0.250 0.500
Os 0.198 0.625 0.073
Os 0.375 0.448 0.573
Os 0.552 0.125 0.927
Os 0.875 0.802 0.427
O 0.250 0.750 0.500
O 0.500 0.500 0.000

As for the symmetry: I-42d. Its energy above the lowest structure with this stoichiometry is 0.13 eV/f.u. For the formation energy (no corrections), the calculation gives 0.6784 eV per atom. The calculation puts the total magnetization at 0.00 μB per formula unit.